Record 1
LuAlNi after structural relaxation. Source: OQMD, functional PBE.

abc: 4.4096 4.4096 4.4096
angles: 60.00 60.00 60.00
Sites, in units of the cell vectors:
Lu (0.0000, 0.0000, 0.0000)
Al (0.2500, 0.2500, 0.2500)
Ni (0.5000, 0.5000, 0.5000)

Values from the calculation:
Crystal system   cubic
E_tot   -4.492 eV per atom
Space-group type   F-43m, No. 216

Record 2
TaInCoPt after structural relaxation. Source: OQMD, functional PBE.

abc: 4.5027 4.5027 4.5027
angles: 60.00 60.00 60.00
Sites, in units of the cell vectors:
Ta (0.0000, 0.0000, 0.0000)
In (0.5000, 0.5000, 0.5000)
Co (0.7500, 0.7500, 0.7500)
Pt (0.2500, 0.2500, 0.2500)

Values from the calculation:
Crystal system   cubic
E above lowest polymorph   0 meV/atom
E_tot   -7.112 eV per atom
Space-group type   F-43m, No. 216

Record 3
Sr2InMo after structural relaxation. Source: OQMD, functional PBE.

abc: 5.3261 5.3261 5.3261
angles: 60.00 60.00 60.00
Sites, in units of the cell vectors:
Sr (0.0000, 0.0000, 0.0000)
Sr (0.2500, 0.2500, 0.2500)
In (0.5000, 0.5000, 0.5000)
Mo (0.7500, 0.7500, 0.7500)

Values from the calculation:
Crystal system   cubic
E_tot   -3.623 eV per atom
Space-group type   F-43m, No. 216

Record 4
TaZnFeMo after structural relaxation. Source: OQMD, functional PBE.

abc: 4.3817 4.3817 4.3817
angles: 60.00 60.00 60.00
Sites, in units of the cell vectors:
Ta (0.0000, 0.0000, 0.0000)
Zn (0.5000, 0.5000, 0.5000)
Fe (0.7500, 0.7500, 0.7500)
Mo (0.2500, 0.2500, 0.2500)

Values from the calculation:
Crystal system   cubic
E above lowest polymorph   0 meV/atom
E_tot   -7.883 eV per atom
Space-group type   F-43m, No. 216

Record 5
Re2SeCl12 after structural relaxation. Source: OQMD, functional PBE.

abc: 8.4335 10.8125 8.8187
angles: 90.00 92.99 90.00
Sites, in units of the cell vectors:
Re (0.1354, 0.2500, 0.3886)
Re (0.3591, 0.2500, 0.6228)
Re (0.6409, 0.7500, 0.3772)
Re (0.8646, 0.7500, 0.6114)
Se (0.3378, 0.7500, 0.0750)
Se (0.6622, 0.2500, 0.9250)
Cl (0.0888, 0.7500, 0.1308)
Cl (0.1136, 0.0974, 0.2089)
Cl (0.1136, 0.4026, 0.2089)
Cl (0.1312, 0.7500, 0.5755)
Cl (0.1669, 0.0897, 0.5843)
Cl (0.1669, 0.4103, 0.5843)
Cl (0.3127, 0.2500, 0.8831)
Cl (0.3307, 0.5951, 0.9138)
Cl (0.3307, 0.9049, 0.9138)
Cl (0.4232, 0.2500, 0.3627)
Cl (0.4451, 0.5991, 0.3268)
Cl (0.4451, 0.9009, 0.3268)
Cl (0.5549, 0.0991, 0.6732)
Cl (0.5549, 0.4009, 0.6732)
Cl (0.5768, 0.7500, 0.6373)
Cl (0.6693, 0.0951, 0.0862)
Cl (0.6693, 0.4049, 0.0862)
Cl (0.6873, 0.7500, 0.1169)
Cl (0.8331, 0.5897, 0.4157)
Cl (0.8331, 0.9103, 0.4157)
Cl (0.8688, 0.2500, 0.4245)
Cl (0.8864, 0.5974, 0.7911)
Cl (0.8864, 0.9026, 0.7911)
Cl (0.9112, 0.2500, 0.8692)

Values from the calculation:
Crystal system   monoclinic
E_tot   -3.873 eV per atom
Space-group type   P2_1/m, No. 11

Record 6
PrAgSnTe2Se after structural relaxation. Source: OQMD, functional PBE.

abc: 7.6645 7.6645 10.8853
angles: 90.00 90.00 147.13
Sites, in units of the cell vectors:
Pr (0.0000, 0.0000, 0.0000)
Pr (0.0000, 0.0000, 0.5000)
Ag (0.4774, 0.5226, 0.7500)
Ag (0.5226, 0.4774, 0.2500)
Sn (0.2545, 0.7455, 0.2500)
Sn (0.7455, 0.2545, 0.7500)
Te (0.3455, 0.6545, 0.5630)
Te (0.3455, 0.6545, 0.9370)
Te (0.6545, 0.3455, 0.0630)
Te (0.6545, 0.3455, 0.4370)
Se (0.0889, 0.9111, 0.7500)
Se (0.9111, 0.0889, 0.2500)

Values from the calculation:
Crystal system   orthorhombic
E_tot   -4.310 eV per atom
Space-group type   Cmcm, No. 63

Record 7
CoHgBOs after structural relaxation. Source: OQMD, functional PBE.

abc: 4.3033 4.3033 4.3033
angles: 60.00 60.00 60.00
Sites, in units of the cell vectors:
Co (0.0000, 0.0000, 0.0000)
Hg (0.5000, 0.5000, 0.5000)
B (0.7500, 0.7500, 0.7500)
Os (0.2500, 0.2500, 0.2500)

Values from the calculation:
Crystal system   cubic
E above lowest polymorph   333 meV/atom
E_tot   -4.809 eV per atom
Space-group type   F-43m, No. 216

Record 8
Te2Au after structural relaxation. Source: OQMD, functional PBE.

abc: 6.1860 6.1860 6.1860
angles: 60.00 60.00 60.00
Sites, in units of the cell vectors:
Te (0.0000, 0.0000, 0.0000)
Te (0.0000, 0.0000, 0.5000)
Te (0.0000, 0.5000, 0.0000)
Te (0.5000, 0.0000, 0.0000)
Au (0.3750, 0.3750, 0.3750)
Au (0.6250, 0.6250, 0.6250)

Values from the calculation:
Crystal system   cubic
E_tot   -2.520 eV per atom
Space-group type   Fd-3m, No. 227

Record 9
LiTaAlOs after structural relaxation. Source: OQMD, functional PBE.

abc: 4.3832 4.3832 4.3832
angles: 60.00 60.00 60.00
Sites, in units of the cell vectors:
Li (0.0000, 0.0000, 0.0000)
Ta (0.5000, 0.5000, 0.5000)
Al (0.2500, 0.2500, 0.2500)
Os (0.7500, 0.7500, 0.7500)

Values from the calculation:
Crystal system   cubic
E above lowest polymorph   223 meV/atom
E_tot   -7.343 eV per atom
Space-group type   F-43m, No. 216

Record 10
SmNi2B after structural relaxation. Source: OQMD, functional PBE.

abc: 3.0094 6.4203 6.4203
angles: 27.20 90.00 90.00
Sites, in units of the cell vectors:
Sm (0.0000, 0.0000, 0.0000)
Ni (0.0000, 0.7156, 0.7156)
Ni (0.5000, 0.3474, 0.3474)
B (0.5000, 0.1941, 0.1941)

Values from the calculation:
Crystal system   orthorhombic
E_tot   -5.561 eV per atom
Space-group type   Amm2, No. 38

Record 11
Sm2Ge5Ir3 after structural relaxation. Source: OQMD, functional PBE.

abc: 8.4252 8.4252 6.0804
angles: 111.03 111.03 89.85
Sites, in units of the cell vectors:
Sm (0.0932, 0.3597, 0.2256)
Sm (0.3597, 0.0932, 0.7256)
Sm (0.6403, 0.9068, 0.2744)
Sm (0.9068, 0.6403, 0.7744)
Ge (0.0012, 0.9988, 0.7500)
Ge (0.2399, 0.4372, 0.8379)
Ge (0.2751, 0.7249, 0.7500)
Ge (0.2773, 0.7227, 0.2500)
Ge (0.4372, 0.2399, 0.3379)
Ge (0.5628, 0.7601, 0.6621)
Ge (0.7227, 0.2773, 0.7500)
Ge (0.7249, 0.2751, 0.2500)
Ge (0.7601, 0.5628, 0.1621)
Ge (0.9988, 0.0012, 0.2500)
Ir (0.0316, 0.7483, 0.3882)
Ir (0.2517, 0.9684, 0.1118)
Ir (0.5000, 0.5000, 0.2500)
Ir (0.5000, 0.5000, 0.7500)
Ir (0.7483, 0.0316, 0.8882)
Ir (0.9684, 0.2517, 0.6118)

Values from the calculation:
Crystal system   monoclinic
E_tot   -6.652 eV per atom
Space-group type   C2/c, No. 15

Record 12
KDyAsO after structural relaxation. Source: OQMD, functional PBE.

abc: 4.0328 4.0328 10.8415
angles: 90.00 90.00 90.00
Sites, in units of the cell vectors:
K (0.2500, 0.7500, 0.0000)
K (0.7500, 0.2500, 0.0000)
Dy (0.2500, 0.2500, 0.4053)
Dy (0.7500, 0.7500, 0.5947)
As (0.2500, 0.2500, 0.7696)
As (0.7500, 0.7500, 0.2304)
O (0.2500, 0.7500, 0.5000)
O (0.7500, 0.2500, 0.5000)

Values from the calculation:
Crystal system   tetragonal
E above lowest polymorph   90 meV/atom
E_tot   -5.330 eV per atom
Space-group type   P4/nmm, No. 129